! PBE SrAgBi, optimized geometry; values from VASP
&SYSTEM
  ibrav = 0, nat = 6, ntyp = 3
/
ATOMIC_SPECIES
Sr 87.62 Sr.upf
Ag 107.87 Ag.upf
Bi 208.98 Bi.upf
ATOMIC_POSITIONS crystal
Sr 0.333 0.667 0.250
Sr 0.667 0.333 0.750
Ag 0.000 0.000 0.000
Ag 0.000 0.000 0.500
Bi 0.333 0.667 0.750
Bi 0.667 0.333 0.250
CELL_PARAMETERS angstrom
5.520 0.000 0.000
-2.760 4.780 0.000
0.000 0.000 6.639
! Space-group type: P6_3/mmc, No. 194
! Energy (eV per cell): -19.2